Entry from the Alexandria database: a relaxed structure of Cs3HI2 (GGA-PBE).

Summary:
* relative energy among the computed polymorphs: 9 meV/atom

Lattice parameters (Å, degrees): 7.778 10.457 10.457 118.29 90.00 90.00
Element x y z (fractional)
I 0.501 0.510 0.832
Cs 0.423 0.887 0.887
H 0.540 0.155 0.155
Cs 0.997 0.542 0.829
Cs 0.923 0.113 0.113
H 0.040 0.845 0.845
I 0.001 0.490 0.168
Cs 0.497 0.171 0.458
Cs 0.997 0.829 0.542
I 0.001 0.168 0.490
Cs 0.497 0.458 0.171
I 0.501 0.832 0.510


Entry from the Alexandria database: a relaxed structure of CsHI2 (GGA-PBE).

Summary:
* relative energy among the computed polymorphs: 771 meV/atom

Lattice parameters (Å, degrees): 6.340 6.340 6.340 60.00 60.00 60.00
Element x y z (fractional)
I 0.250 0.250 0.250
H 0.000 0.000 0.000
Cs 0.500 0.500 0.500
I 0.750 0.750 0.750


Entry from the Alexandria database: a relaxed structure of Cs2HI (GGA-PBE).

Summary:
* relative energy among the computed polymorphs: 13 meV/atom

Lattice parameters (Å, degrees): 8.891 8.891 7.954 56.02 56.02 90.00
Element x y z (fractional)
H 0.250 0.750 0.500
I 0.000 0.000 0.000
Cs 0.875 0.798 0.750
I 0.750 0.250 0.500
H 0.500 0.500 0.000
Cs 0.548 0.125 0.250
Cs 0.375 0.452 0.750
Cs 0.202 0.625 0.250


Entry from the Alexandria database: a relaxed structure of Cs5H4I (GGA-PBE).

Summary:
* electronic total energy: -2.34 eV/atom

Lattice parameters (Å, degrees): 4.664 8.015 11.345 76.68 78.14 73.08
Element x y z (fractional)
Cs 0.210 0.906 0.675
H 0.184 0.387 0.246
Cs 0.603 0.639 0.154
Cs 0.397 0.361 0.846
H 0.816 0.613 0.754
I 0.000 0.000 0.000
Cs 0.790 0.094 0.325
Cs 0.000 0.500 0.500
H 0.402 0.791 0.406
H 0.598 0.209 0.594


Entry from the Alexandria database: a relaxed structure of CsHI2 (GGA-PBE).

Summary:
* relative energy among the computed polymorphs: 0 meV/atom

Lattice parameters (Å, degrees): 9.451 6.738 8.036 90.00 128.91 90.00
Element x y z (fractional)
H 0.775 0.250 0.943
I 0.774 0.250 0.717
H 0.225 0.750 0.057
I 0.760 0.250 0.190
Cs 0.710 0.750 0.401
I 0.240 0.750 0.810
I 0.226 0.750 0.283
Cs 0.290 0.250 0.599


Entry from the Alexandria database: a relaxed structure of Cs2H4I (GGA-PBE).

Summary:
* electronic total energy: -1.89 eV/atom

Lattice parameters (Å, degrees): 7.305 7.305 8.206 116.43 116.43 90.00
Element x y z (fractional)
I 0.500 0.500 0.000
H 0.102 0.776 0.204
H 0.648 0.474 0.296
I 0.250 0.750 0.500
H 0.572 0.898 0.796
H 0.526 0.352 0.704
H 0.178 0.352 0.704
H 0.648 0.822 0.296
Cs 0.375 0.125 0.250
Cs 0.875 0.125 0.250
H 0.224 0.898 0.796
Cs 0.875 0.125 0.750
H 0.102 0.428 0.204
Cs 0.875 0.625 0.750